VASP calculation (GGA-PBEsol) on crystalline K2MoSe at its relaxed geometry.

extended XYZ file:
```
4
Lattice="-1.448 1.471 3.885 -4.128 -0.990 -1.163 3.368 -5.055 0.678" Properties=species:S:1:pos:R:3 pbc="T T T"
K -2.498 -2.167 2.381
K 0.290 -2.407 1.020
Mo -0.724 0.736 1.943
Se -2.064 -0.495 -0.582
```

Values from the calculation:
As for the uncorrected formation energy: 0.724 eV per atom. The density of states at the Fermi level is 0.88 states/eV/cell. The calculation puts the magnetization at 3.9 μB per cell.